## PmCo2H8 (PBE)

Data for a relaxed PmCo2H8 crystal.

Cell: 4.654 4.654 3.732 Å, 90.04 90.04 116.97°
Atoms (fractional coordinates):
Pm  0.000  0.000  0.000
Co  0.327  0.673  0.500
Co  0.673  0.327  0.500
H  0.026  0.321  0.501
H  0.310  0.690  0.000
H  0.321  0.026  0.501
H  0.499  0.499  0.263
H  0.501  0.501  0.737
H  0.679  0.974  0.499
H  0.690  0.310  0.000
H  0.974  0.679  0.499

Properties
Space-group type: C2/m, No. 12
M_tot (μB per cell): 0.0
E (Ry per atom): -0.3187
Energy above the lowest structure with this stoichiometry (kJ/mol of atoms): 0.0


## RbAg2HgI (PBE)

Data for a relaxed RbAg2HgI crystal.

Cell: 6.525 6.525 6.663 Å, 90.00 90.00 90.00°
Atoms (fractional coordinates):
Rb  0.000  0.000  0.000
Ag  0.000  0.500  0.000
Ag  0.500  0.000  0.000
Hg  0.500  0.500  0.500
I  0.000  0.000  0.500

Properties
Space-group type: P4/mmm, No. 123
M_tot (μB per cell): 0.0
E (Ry per atom): -0.0864
Formation energy from raw total energies (eV per formula unit): 2.64


These records have D(E_F) values of 2.2; 2.9 states/eV/f.u., in the order they appear.